Below is a relaxed LaCoRh crystal, with properties calculated at the GGA-PBE level.

Unit cell a=3.244 b=3.733 c=9.590 alpha=90.00 beta=90.00 gamma=90.00
Space group Imm2 (No. 44)
Inequivalent atoms, fractional coordinates:
La: 0.000 0.000 0.000
Co: 0.000 0.000 0.720
Rh: 0.000 0.000 0.288

Properties
Its distance to the lowest polymorph of the same formula is 260.1 meV per atom. As for the formation energy from the elements: -61 meV per atom. Its total energy is -0.479 Ry/atom.



Below is a relaxed LaCoRh crystal, with properties calculated at the GGA-PBE level.

Unit cell a=5.516 b=6.445 c=13.522 alpha=90.00 beta=90.00 gamma=90.00
Space group Fmmm (No. 69)
Inequivalent atoms, fractional coordinates:
La: 0.000 0.000 0.156
Co: 0.250 0.250 0.000
Rh: 0.000 0.000 0.393

Properties
Its distance to the lowest polymorph of the same formula is 75.4 meV per atom. As for the formation energy from the elements: -246 meV per atom. Its total energy is -0.493 Ry/atom.



Below is a relaxed La8CoRh2 crystal, with properties calculated at the GGA-PBE level.

Unit cell a=19.118 b=3.955 c=9.053 alpha=90.00 beta=94.28 gamma=90.00
Space group C2/m (No. 12)
Inequivalent atoms, fractional coordinates:
La: 0.009 0.000 0.200
La: 0.098 0.500 0.539
La: 0.154 0.500 0.970
La: 0.222 0.000 0.336
Co: 0.000 0.500 0.000
Rh: 0.167 0.000 0.734

Properties
As for the formation energy from the elements: -344 meV per atom. Its total energy is -0.434 Ry/atom.



Below is a relaxed La2CoRh2 crystal, with properties calculated at the GGA-PBE level.

Unit cell a=3.707 b=3.707 c=16.133 alpha=90.00 beta=90.00 gamma=90.00
Space group I4/mmm (No. 139)
Inequivalent atoms, fractional coordinates:
La: 0.000 0.000 0.106
Co: 0.000 0.000 0.500
Rh: 0.000 0.500 0.250

Properties
Its distance to the lowest polymorph of the same formula is 230.8 meV per atom. As for the formation energy from the elements: -78 meV per atom. Its total energy is -0.471 Ry/atom.



Below is a relaxed La2CoRh2 crystal, with properties calculated at the GGA-PBE level.

Unit cell a=7.105 b=7.105 c=4.193 alpha=90.00 beta=90.00 gamma=90.00
Space group P4/mbm (No. 127)
Inequivalent atoms, fractional coordinates:
La: 0.181 0.319 0.000
Co: 0.000 0.000 0.500
Rh: 0.137 0.637 0.500

Properties
Its distance to the lowest polymorph of the same formula is 0.0 meV per atom. As for the formation energy from the elements: -309 meV per atom. Its total energy is -0.488 Ry/atom.



Below is a relaxed La12Co5Rh crystal, with properties calculated at the GGA-PBE level.

Unit cell a=7.105 b=12.327 c=13.060 alpha=90.00 beta=100.18 gamma=90.00
Space group C2/m (No. 12)
Inequivalent atoms, fractional coordinates:
La: 0.118 0.000 0.383
La: 0.133 0.328 0.383
La: 0.201 0.500 0.113
La: 0.202 0.166 0.112
Co: 0.000 0.000 0.000
Co: 0.000 0.167 0.500
Co: 0.000 0.334 0.000
Rh: 0.000 0.500 0.500

Properties
As for the formation energy from the elements: -175 meV per atom. Its total energy is -0.429 Ry/atom.



Please write out number 2 again, unchanged.
Below is a relaxed LaCoRh crystal, with properties calculated at the GGA-PBE level.

Unit cell a=5.516 b=6.445 c=13.522 alpha=90.00 beta=90.00 gamma=90.00
Space group Fmmm (No. 69)
Inequivalent atoms, fractional coordinates:
La: 0.000 0.000 0.156
Co: 0.250 0.250 0.000
Rh: 0.000 0.000 0.393

Properties
Its distance to the lowest polymorph of the same formula is 75.4 meV per atom. As for the formation energy from the elements: -246 meV per atom. Its total energy is -0.493 Ry/atom.